No. 1
Here is an optimized crystal structure of LaOs2 from Alexandria via LeMat-Bulk. Energies are from PBE.

Computed properties:
ΔE_f (eV/atom): 1.6829
Total magnetic moment (μB/atom): 0.000

a = 6.6957 Å, b = 6.6957 Å, c = 6.6957 Å
α = 90.00°, β = 90.00°, γ = 90.00°
With the nearest neighbours (Å) after each atom.
Space group Pa-3 (No. 205)
Asymmetric unit:
1 La 0.0000 0.0000 0.0000 (multiplicity 4)  6 Os 2.84
2 Os 0.0988 0.5988 0.9012 (multiplicity 8)  1 Os 2.29

No. 2
Here is an optimized crystal structure of BaPuSb2 from Alexandria via LeMat-Bulk. Energies are from PBE.

Computed properties:
Uncorrected formation energy (eV/atom): -0.711
Total magnetic moment (μB/atom): 1.086
Energy above the lowest structure with this stoichiometry (meV per atom): 0

a = 4.6825 Å, b = 4.6825 Å, c = 23.3365 Å
α = 90.00°, β = 90.00°, γ = 120.00°
With the nearest neighbours (Å) after each atom.
Space group R-3m (No. 166, hexagonal axes)
Asymmetric unit:
1 Ba 0.0000 0.0000 0.0000 (multiplicity 3)  6 Sb 3.55
2 Pu 0.0000 0.0000 0.5000 (multiplicity 3)  6 Sb 3.14
3 Sb 0.0000 0.0000 0.2348 (multiplicity 6)  3 Pu 3.14

Question: What is the formula in the second record?
Answer: BaPuSb2